Record 1
This record from Alexandria via LeMat-Bulk describes a relaxed structure of TaZn2BiCl. The functional is GGA-PBEsol.

The space-group type is P4/mmm, No. 123.

Cell and atoms, written as POSCAR:
```
TaZn2BiCl
1.0
5.1590 0.0000 0.0000
0.0000 5.1590 0.0000
0.0000 0.0000 5.3103
Cl Zn Bi Ta
1 2 1 1
Direct
0.5000 0.5000 0.5000
0.5000 0.0000 0.0000
0.0000 0.5000 0.0000
0.0000 0.0000 0.5000
0.0000 0.0000 0.0000
```

***

Record 2
This record from Alexandria via LeMat-Bulk describes a relaxed structure of TcBiCl2. The functional is GGA-PBEsol.

The space-group type is I-42d, No. 122. The value obtained for the offset from the most stable computed form is 0.076 eV per atom.

Cell and atoms, written as POSCAR:
```
TcBiCl2
1.0
-2.0271 4.0522 2.6816
-6.0600 -0.8204 1.8275
0.8108 -0.3568 6.3207
Cl Tc Bi
4 2 2
Direct
0.8750 0.8817 0.6183
0.5067 0.6183 0.1183
0.2433 0.3817 0.8817
0.3750 0.1183 0.3817
0.2500 0.5000 0.5000
0.5000 0.0000 0.0000
0.7500 0.5000 0.5000
0.0000 0.0000 0.0000
```

***

Record 3
This record from Alexandria via LeMat-Bulk describes a relaxed structure of Tc3BiCl. The functional is GGA-PBEsol.

The space-group type is Pm-3m, No. 221.

Cell and atoms, written as POSCAR:
```
Tc3BiCl
1.0
-0.1569 -4.4493 -2.5515
-2.4279 -2.1842 3.9580
-4.5179 1.3282 -2.0384
Tc Bi Cl
3 1 1
Direct
0.0000 0.0000 0.5000
0.5000 0.0000 0.0000
0.0000 0.5000 0.0000
0.0000 0.0000 0.0000
0.5000 0.5000 0.5000
```

***

Record 4
This record from Alexandria via LeMat-Bulk describes a relaxed structure of TcBiCl2. The functional is GGA-PBEsol.

The space-group type is R-3m, No. 166. The value obtained for the offset from the most stable computed form is 0.000 eV per atom.

Cell and atoms, written as POSCAR:
```
TcBiCl2
1.0
3.2923 0.0000 0.0000
1.6461 2.8512 0.0000
1.6461 0.9504 10.6171
Cl Tc Bi
2 1 1
Direct
0.8797 0.8797 0.3608
0.1203 0.1203 0.6392
0.5000 0.5000 0.5000
0.0000 0.0000 0.0000
```

***

Record 5
This record from Alexandria via LeMat-Bulk describes a relaxed structure of Bi2Te2Cl. The functional is GGA-PBEsol.

The space-group type is I4/mmm, No. 139. The value obtained for the offset from the most stable computed form is 0.094 eV per atom.

Cell and atoms, written as POSCAR:
```
Bi2Te2Cl
1.0
-2.1693 4.9861 2.5853
-3.2872 -2.7425 -4.4799
-5.0416 -2.9501 1.4594
Bi Cl Te
2 1 2
Direct
0.6791 0.3582 0.3209
0.3209 0.6418 0.6791
0.0000 0.0000 0.0000
0.7500 0.5000 0.7500
0.2500 0.5000 0.2500
```

***

Record 6
This record from Alexandria via LeMat-Bulk describes a relaxed structure of Bi2Te2Cl. The functional is GGA-PBEsol.

The space-group type is P4/mbm, No. 127. The value obtained for the offset from the most stable computed form is 0.000 eV per atom.

Cell and atoms, written as POSCAR:
```
Bi2Te2Cl
1.0
4.2576 0.0000 0.0000
0.0000 8.2141 0.0000
0.0000 0.0000 8.2141
Bi Cl Te
4 2 4
Direct
0.0000 0.6531 0.1531
0.0000 0.3469 0.8469
0.0000 0.1531 0.3469
0.0000 0.8469 0.6531
0.0000 0.5000 0.5000
0.0000 0.0000 0.0000
0.5000 0.6521 0.8479
0.5000 0.3479 0.1521
0.5000 0.1521 0.6521
0.5000 0.8479 0.3479
```

***

Record 7
This record from Alexandria via LeMat-Bulk describes a relaxed structure of BiTeCl. The functional is GGA-PBEsol.

The space-group type is P6_3mc, No. 186.

Cell and atoms, written as POSCAR:
```
BiTeCl
1.0
-3.3386 2.5405 -0.5302
0.3660 -3.5209 -2.3131
-6.3429 -6.4848 8.8674
Te Cl Bi
2 2 2
Direct
0.3333 0.6667 0.7248
0.6667 0.3333 0.2248
0.0000 0.0000 0.4934
0.0000 0.0000 0.9934
0.6667 0.3333 0.8637
0.3333 0.6667 0.3637
```

***

Record 8
This record from Alexandria via LeMat-Bulk describes a relaxed structure of TiBiCl2. The functional is GGA-PBEsol.

The space-group type is I-42d, No. 122.

Cell and atoms, written as POSCAR:
```
TiBiCl2
1.0
-3.4121 -4.2248 -1.7499
0.7758 -5.6978 2.9419
-5.6320 -0.5910 3.1070
Ti Bi Cl
2 2 4
Direct
0.2500 0.5000 0.5000
0.5000 0.0000 0.0000
0.7500 0.5000 0.5000
0.0000 0.0000 0.0000
0.8750 0.6197 0.8803
0.2447 0.8803 0.3803
0.3750 0.3803 0.1197
0.5053 0.1197 0.6197
```

***

What formation energy without anion corrections values result from the calculations? In sequence: 0.7743; 0.0665; 2.5725; -0.0093; -0.1748; -0.2688; -0.5679; -0.5619 eV/atom.
What calculated volume values result from the calculations? In sequence: 141.3; 178.0; 135.1; 99.7; 163.2; 287.3; 196.4; 191.6 Å³ per cell.
What DFT total energy values result from the calculations? In sequence: -18.14; -38.60; -27.23; -19.60; -18.50; -37.95; -23.05; -37.74 eV for the cell shown.